Compound: InNi3O
Source: Alexandria via LeMat-Bulk
Functional: PBE with a Hubbard U
Structure: optimized geometry

raw total energy = -3.03 eV per atom
space-group type = Pm-3m, No. 221
crystal system = cubic
ρ = 7.7 Mg/m³

a b c (Å): 4.051 4.051 4.051
angles (deg): 90.00 90.00 90.00
Site moments in Bohr magnetons follow the coordinates.
Element x y z (fractional)
1 Ni 0.500 0.000 0.000  0.85
2 Ni 0.000 0.500 0.000  0.90
3 Ni 0.000 0.000 0.500  1.01
4 In 0.500 0.500 0.500  -0.04
5 O 0.000 0.000 0.000  -0.08